The following is a GGA+U calculation of a relaxed MnPd2O6 crystal, from the Alexandria database.

- SG: P-31m
- Spin magnetization: 0.33 μB/atom
- Energy above the lowest structure with this stoichiometry: 0 meV/atom

Unit cell a=4.9653 b=5.2744 c=5.2744 alpha=120.00 beta=90.00 gamma=90.00
Closest atoms and distances in Å follow each position.
Atoms (fractional coordinates):
Mn  0.5000  0.0000  0.0000  6 O 1.97
Pd  0.4999  0.6667  0.3333  6 O 2.04
Pd  0.5001  0.3333  0.6667  6 O 2.04
O  0.3030  0.6766  0.6767  1 Mn 1.97, 2 Pd 2.04
O  0.3030  0.0001  0.3234  1 Mn 1.97, 2 Pd 2.04
O  0.3030  0.3233  0.9999  1 Mn 1.97, 2 Pd 2.04
O  0.6970  0.3234  0.3233  1 Mn 1.97, 2 Pd 2.04
O  0.6970  0.9999  0.6766  1 Mn 1.97, 2 Pd 2.04
O  0.6970  0.6767  0.0001  1 Mn 1.97, 2 Pd 2.04